Entry 1:
Here is a geometry-optimized ReSe structure from Alexandria via LeMat-Bulk. Energies are from GGA-PBE.

Properties
- V (Å³/f.u.) = 42.68
- relative energy among the computed polymorphs (meV per atom) = 947
- DOS at the Fermi energy (states/eV per cell) = 11.23
- total magnetization (μB per cell) = 0.00
- crystal system = cubic
- electronic total energy (eV per atom) = -7.1472
- symmetry = No. 216

Cell: 5.547 5.547 5.547 Å, 90.00 90.00 90.00°
Element x y z (fractional)
1 Re 0.000 0.000 0.000
2 Re 0.000 0.500 0.500
3 Re 0.500 0.000 0.500
4 Re 0.500 0.500 0.000
5 Se 0.250 0.250 0.250
6 Se 0.250 0.750 0.750
7 Se 0.750 0.250 0.750
8 Se 0.750 0.750 0.250

Entry 2:
Here is a geometry-optimized ReSe structure from Alexandria via LeMat-Bulk. Energies are from GGA-PBE.

Properties
- V (Å³/f.u.) = 43.06
- relative energy among the computed polymorphs (meV per atom) = 604
- DOS at the Fermi energy (states/eV per cell) = 20.10
- total magnetization (μB per cell) = 0.00
- crystal system = orthorhombic
- electronic total energy (eV per atom) = -7.4909
- symmetry = No. 70

Cell: 7.862 11.147 7.861 Å, 90.00 90.00 90.00°
Element x y z (fractional)
1 Re 0.000 0.607 0.000
2 Re 0.000 0.393 0.000
3 Re 0.250 0.143 0.250
4 Re 0.250 0.357 0.250
5 Re 0.000 0.107 0.500
6 Re 0.000 0.893 0.500
7 Re 0.250 0.643 0.750
8 Re 0.250 0.857 0.750
9 Re 0.500 0.607 0.500
10 Re 0.500 0.393 0.500
11 Re 0.750 0.143 0.750
12 Re 0.750 0.357 0.750
13 Re 0.500 0.107 0.000
14 Re 0.500 0.893 0.000
15 Re 0.750 0.643 0.250
16 Re 0.750 0.857 0.250
17 Se 0.785 0.000 0.000
18 Se 0.215 0.000 0.000
19 Se 0.465 0.750 0.250
20 Se 0.035 0.750 0.250
21 Se 0.785 0.500 0.500
22 Se 0.215 0.500 0.500
23 Se 0.465 0.250 0.750
24 Se 0.035 0.250 0.750
25 Se 0.285 0.000 0.500
26 Se 0.715 0.000 0.500
27 Se 0.965 0.750 0.750
28 Se 0.535 0.750 0.750
29 Se 0.285 0.500 0.000
30 Se 0.715 0.500 0.000
31 Se 0.965 0.250 0.250
32 Se 0.535 0.250 0.250

Entry 3:
Here is a geometry-optimized ReSe structure from Alexandria via LeMat-Bulk. Energies are from GGA-PBE.

Properties
- V (Å³/f.u.) = 30.36
- relative energy among the computed polymorphs (meV per atom) = 802
- DOS at the Fermi energy (states/eV per cell) = 2.77
- total magnetization (μB per cell) = 0.00
- crystal system = tetragonal
- electronic total energy (eV per atom) = -7.2927
- symmetry = No. 123

Cell: 3.129 4.405 4.405 Å, 90.00 90.00 90.00°
Element x y z (fractional)
1 Re 0.000 0.000 0.917
2 Re 0.000 0.500 0.417
3 Se 0.500 0.000 0.417
4 Se 0.500 0.500 0.917

Entry 4:
Here is a geometry-optimized ReSe structure from Alexandria via LeMat-Bulk. Energies are from GGA-PBE.

Properties
- V (Å³/f.u.) = 38.22
- relative energy among the computed polymorphs (meV per atom) = 39
- DOS at the Fermi energy (states/eV per cell) = 1.34
- total magnetization (μB per cell) = 0.00
- crystal system = trigonal
- electronic total energy (eV per atom) = -8.0557
- symmetry = No. 164

Cell: 3.105 3.105 9.156 Å, 90.00 90.00 120.00°
Element x y z (fractional)
1 Re 0.333 0.667 0.110
2 Re 0.667 0.333 0.890
3 Se 0.333 0.667 0.697
4 Se 0.667 0.333 0.303

Entry 5:
Here is a geometry-optimized ReSe structure from Alexandria via LeMat-Bulk. Energies are from GGA-PBE.

Properties
- V (Å³/f.u.) = 38.08
- relative energy among the computed polymorphs (meV per atom) = 133
- DOS at the Fermi energy (states/eV per cell) = 6.52
- total magnetization (μB per cell) = 0.00
- crystal system = monoclinic
- electronic total energy (eV per atom) = -7.9610
- symmetry = No. 8

Cell: 9.410 3.036 10.816 Å, 90.00 99.63 90.00°
Element x y z (fractional)
1 Re 0.227 0.000 0.208
2 Re 0.227 0.500 0.708
3 Re 0.494 0.000 0.368
4 Re 0.494 0.500 0.868
5 Re 0.273 0.000 0.946
6 Re 0.273 0.500 0.446
7 Re 0.435 0.000 0.620
8 Re 0.435 0.500 0.120
9 Se 0.670 0.000 0.776
10 Se 0.670 0.500 0.276
11 Se 0.024 0.000 0.627
12 Se 0.024 0.500 0.127
13 Se 0.064 0.000 0.380
14 Se 0.064 0.500 0.880
15 Se 0.628 0.000 0.034
16 Se 0.628 0.500 0.534

Entry 6:
Here is a geometry-optimized ReSe structure from Alexandria via LeMat-Bulk. Energies are from GGA-PBE.

Properties
- V (Å³/f.u.) = 40.23
- relative energy among the computed polymorphs (meV per atom) = 681
- DOS at the Fermi energy (states/eV per cell) = 9.83
- total magnetization (μB per cell) = 0.00
- crystal system = orthorhombic
- electronic total energy (eV per atom) = -7.4138
- symmetry = No. 59

Cell: 3.092 5.756 13.564 Å, 90.00 90.00 90.00°
Element x y z (fractional)
1 Re 0.000 0.007 0.824
2 Re 0.500 0.993 0.676
3 Re 0.500 0.993 0.324
4 Re 0.000 0.007 0.176
5 Re 0.000 0.413 0.500
6 Re 0.500 0.587 0.000
7 Se 0.000 0.655 0.650
8 Se 0.500 0.345 0.850
9 Se 0.500 0.345 0.150
10 Se 0.000 0.655 0.350
11 Se 0.000 0.909 0.000
12 Se 0.500 0.091 0.500

Entry 7:
Here is a geometry-optimized ReSe2 structure from Alexandria via LeMat-Bulk. Energies are from GGA-PBE.

Properties
- V (Å³/f.u.) = 57.42
- DOS at the Fermi energy (states/eV per cell) = 4.20
- total magnetization (μB per cell) = 0.00
- crystal system = orthorhombic
- electronic total energy (eV per atom) = -6.5433
- symmetry = No. 58

Cell: 3.390 5.460 6.203 Å, 90.00 90.00 90.00°
Element x y z (fractional)
1 Re 0.000 0.000 0.000
2 Re 0.500 0.500 0.500
3 Se 0.000 0.197 0.639
4 Se 0.000 0.803 0.361
5 Se 0.500 0.697 0.861
6 Se 0.500 0.303 0.139

Entry 8:
Here is a geometry-optimized ReSe2 structure from Alexandria via LeMat-Bulk. Energies are from GGA-PBE.

Properties
- V (Å³/f.u.) = 62.44
- DOS at the Fermi energy (states/eV per cell) = 3.49
- total magnetization (μB per cell) = 0.00
- crystal system = orthorhombic
- electronic total energy (eV per atom) = -6.4022
- symmetry = No. 63

Cell: 7.954 7.954 4.954 Å, 90.00 90.00 156.52°
Element x y z (fractional)
1 Re 0.664 0.336 0.750
2 Re 0.336 0.664 0.250
3 Se 0.047 0.953 0.750
4 Se 0.297 0.703 0.750
5 Se 0.703 0.297 0.250
6 Se 0.953 0.047 0.250

Entry 9:
Here is a geometry-optimized ReSe2 structure from Alexandria via LeMat-Bulk. Energies are from GGA-PBE.

Properties
- V (Å³/f.u.) = 66.92
- DOS at the Fermi energy (states/eV per cell) = 2.54
- total magnetization (μB per cell) = 0.00
- crystal system = monoclinic
- electronic total energy (eV per atom) = -6.7681
- symmetry = No. 12

Cell: 7.178 7.178 5.936 Å, 79.43 79.43 26.46°
Element x y z (fractional)
1 Re 0.753 0.753 0.305
2 Re 0.247 0.247 0.695
3 Se 0.384 0.384 0.365
4 Se 0.149 0.149 0.118
5 Se 0.851 0.851 0.882
6 Se 0.616 0.616 0.635

Entry 10:
Here is a geometry-optimized ReSe structure from Alexandria via LeMat-Bulk. Energies are from GGA-PBE.

Properties
- V (Å³/f.u.) = 42.67
- relative energy among the computed polymorphs (meV per atom) = 105
- DOS at the Fermi energy (states/eV per cell) = 4.29
- total magnetization (μB per cell) = 0.00
- crystal system = triclinic
- electronic total energy (eV per atom) = -7.9899
- symmetry = No. 1

Cell: 3.052 6.975 8.198 Å, 96.17 100.28 90.00°
Element x y z (fractional)
1 Re 0.161 0.195 0.695
2 Re 0.629 0.840 0.628
3 Re 0.192 0.583 0.761
4 Re 0.574 0.457 0.514
5 Se 0.012 0.191 0.385
6 Se 0.771 0.356 0.924
7 Se 0.257 0.929 0.897
8 Se 0.010 0.714 0.381

Entry 11:
Here is a geometry-optimized ReSe2 structure from Alexandria via LeMat-Bulk. Energies are from GGA-PBE.

Properties
- V (Å³/f.u.) = 58.88
- DOS at the Fermi energy (states/eV per cell) = 4.03
- total magnetization (μB per cell) = 0.00
- crystal system = tetragonal
- electronic total energy (eV per atom) = -5.7821
- symmetry = No. 123

Cell: 4.392 4.392 3.053 Å, 90.00 90.00 90.00°
Element x y z (fractional)
1 Re 0.000 0.000 0.000
2 Se 0.000 0.500 0.500
3 Se 0.500 0.000 0.500

Entry 12:
Here is a geometry-optimized ReSe2 structure from Alexandria via LeMat-Bulk. Energies are from GGA-PBE.

Properties
- V (Å³/f.u.) = 61.43
- DOS at the Fermi energy (states/eV per cell) = 4.06
- total magnetization (μB per cell) = 0.00
- crystal system = orthorhombic
- electronic total energy (eV per atom) = -6.3713
- symmetry = No. 63

Cell: 8.118 8.118 4.885 Å, 90.00 90.00 157.57°
Element x y z (fractional)
1 Re 0.783 0.217 0.750
2 Re 0.217 0.783 0.250
3 Se 0.155 0.845 0.750
4 Se 0.409 0.591 0.750
5 Se 0.591 0.409 0.250
6 Se 0.845 0.155 0.250

Entry 13:
Here is a geometry-optimized ReSe structure from Alexandria via LeMat-Bulk. Energies are from GGA-PBE.

Properties
- V (Å³/f.u.) = 54.32
- relative energy among the computed polymorphs (meV per atom) = 692
- DOS at the Fermi energy (states/eV per cell) = 13.42
- total magnetization (μB per cell) = 0.00
- crystal system = cubic
- electronic total energy (eV per atom) = -7.4029
- symmetry = No. 217

Cell: 7.574 7.574 7.574 Å, 90.00 90.00 90.00°
Element x y z (fractional)
1 Re 0.374 0.374 0.374
2 Re 0.374 0.626 0.626
3 Re 0.626 0.374 0.626
4 Re 0.626 0.626 0.374
5 Re 0.874 0.874 0.874
6 Re 0.874 0.126 0.126
7 Re 0.126 0.874 0.126
8 Re 0.126 0.126 0.874
9 Se 0.189 0.189 0.189
10 Se 0.189 0.811 0.811
11 Se 0.811 0.189 0.811
12 Se 0.811 0.811 0.189
13 Se 0.689 0.689 0.689
14 Se 0.689 0.311 0.311
15 Se 0.311 0.689 0.311
16 Se 0.311 0.311 0.689

Entry 14:
Here is a geometry-optimized ReSe2 structure from Alexandria via LeMat-Bulk. Energies are from GGA-PBE.

Properties
- V (Å³/f.u.) = 63.05
- DOS at the Fermi energy (states/eV per cell) = 2.07
- total magnetization (μB per cell) = 0.00
- crystal system = trigonal
- electronic total energy (eV per atom) = -6.5080
- symmetry = No. 164

Cell: 3.182 3.182 7.189 Å, 90.00 90.00 120.00°
Element x y z (fractional)
1 Re 0.000 0.000 0.000
2 Se 0.667 0.333 0.753
3 Se 0.333 0.667 0.247

Entry 15:
Here is a geometry-optimized ReSe structure from Alexandria via LeMat-Bulk. Energies are from GGA-PBE.

Properties
- V (Å³/f.u.) = 39.41
- relative energy among the computed polymorphs (meV per atom) = 51
- DOS at the Fermi energy (states/eV per cell) = 11.45
- total magnetization (μB per cell) = 0.00
- crystal system = monoclinic
- electronic total energy (eV per atom) = -8.0434
- symmetry = No. 12

Cell: 6.304 3.085 16.472 Å, 90.00 100.23 90.00°
Element x y z (fractional)
1 Re 0.516 0.000 0.815
2 Re 0.484 0.000 0.185
3 Re 0.516 0.500 0.315
4 Re 0.484 0.500 0.685
5 Re 0.131 0.000 0.705
6 Re 0.869 0.000 0.295
7 Re 0.131 0.500 0.205
8 Re 0.869 0.500 0.795
9 Se 0.283 0.000 0.574
10 Se 0.717 0.000 0.426
11 Se 0.283 0.500 0.074
12 Se 0.717 0.500 0.926
13 Se 0.159 0.000 0.867
14 Se 0.841 0.000 0.133
15 Se 0.159 0.500 0.367
16 Se 0.841 0.500 0.633

Entry 16:
Here is a geometry-optimized ReSe2 structure from Alexandria via LeMat-Bulk. Energies are from GGA-PBE.

Properties
- V (Å³/f.u.) = 63.83
- DOS at the Fermi energy (states/eV per cell) = 3.35
- total magnetization (μB per cell) = 0.00
- crystal system = tetragonal
- electronic total energy (eV per atom) = -6.4121
- symmetry = No. 141

Cell: 13.970 13.970 13.970 Å, 167.50 167.50 17.71°
Element x y z (fractional)
1 Re 0.000 0.000 0.000
2 Re 0.750 0.250 0.500
3 Se 0.557 0.557 0.000
4 Se 0.193 0.693 0.500
5 Se 0.443 0.443 0.000
6 Se 0.307 0.807 0.500

Entry 17:
Here is a geometry-optimized Re4Se structure from Alexandria via LeMat-Bulk. Energies are from GGA-PBE.

Properties
- V (Å³/f.u.) = 92.57
- relative energy among the computed polymorphs (meV per atom) = 148
- DOS at the Fermi energy (states/eV per cell) = 2.64
- total magnetization (μB per cell) = 0.00
- crystal system = tetragonal
- electronic total energy (eV per atom) = -9.9781
- symmetry = No. 139

Cell: 6.527 6.527 6.527 Å, 144.65 144.65 50.85°
Element x y z (fractional)
1 Re 0.750 0.250 0.500
2 Re 0.250 0.750 0.500
3 Re 0.617 0.617 0.000
4 Re 0.383 0.383 0.000
5 Se 0.000 0.000 0.000

Entry 18:
Here is a geometry-optimized ReSe structure from Alexandria via LeMat-Bulk. Energies are from GGA-PBE.

Properties
- V (Å³/f.u.) = 45.40
- relative energy among the computed polymorphs (meV per atom) = 364
- DOS at the Fermi energy (states/eV per cell) = 3.59
- total magnetization (μB per cell) = 0.00
- crystal system = tetragonal
- electronic total energy (eV per atom) = -7.7301
- symmetry = No. 129

Cell: 3.856 3.856 6.106 Å, 90.00 90.00 90.00°
Element x y z (fractional)
1 Re 0.250 0.750 0.000
2 Re 0.750 0.250 0.000
3 Se 0.250 0.250 0.267
4 Se 0.750 0.750 0.733

Entry 19:
Here is a geometry-optimized ReSe structure from Alexandria via LeMat-Bulk. Energies are from GGA-PBE.

Properties
- V (Å³/f.u.) = 34.58
- relative energy among the computed polymorphs (meV per atom) = 488
- DOS at the Fermi energy (states/eV per cell) = 3.19
- total magnetization (μB per cell) = 0.00
- crystal system = hexagonal
- electronic total energy (eV per atom) = -7.6066
- symmetry = No. 186

Cell: 3.093 3.093 8.348 Å, 90.00 90.00 120.00°
Element x y z (fractional)
1 Re 0.333 0.667 0.691
2 Re 0.667 0.333 0.191
3 Se 0.333 0.667 0.391
4 Se 0.667 0.333 0.891

Entry 20:
Here is a geometry-optimized ReSe structure from Alexandria via LeMat-Bulk. Energies are from GGA-PBE.

Properties
- V (Å³/f.u.) = 38.80
- relative energy among the computed polymorphs (meV per atom) = 376
- DOS at the Fermi energy (states/eV per cell) = 2.97
- total magnetization (μB per cell) = 0.00
- crystal system = orthorhombic
- electronic total energy (eV per atom) = -7.7184
- symmetry = No. 74

Cell: 8.778 8.778 8.778 Å, 160.41 159.98 28.15°
Element x y z (fractional)
1 Re 0.939 0.939 0.000
2 Re 0.811 0.311 0.500
3 Se 0.524 0.524 0.000
4 Se 0.226 0.726 0.500